Record 1
TlCdGe3 after structural relaxation. Source: Alexandria, functional PBE-GGA.

Summary:
E above lowest polymorph (meV per atom): 0
DOS(E_F) (states/eV/atom): 0.803
DFT formation energy (meV per atom): 718
E (eV per cell): -13.54
ρ (g cm⁻³): 6.2

Cell lengths 5.239, 5.239, 5.239 Å; angles 90.00, 90.00, 90.00 degrees
Space group Pm-3m (No. 221)
Symmetry-distinct sites (fractional):
Tl 0.000 0.000 0.000 (multiplicity 1)
Cd 0.500 0.500 0.500 (multiplicity 1)
Ge 0.000 0.500 0.500 (multiplicity 3)

Record 2
Pm6YAl2 after structural relaxation. Source: Alexandria, functional PBE-GGA.

Summary:
DOS(E_F) (states/eV/atom): 1.051
DFT formation energy (meV per atom): -150
E (eV per cell): -87.60
ρ (g cm⁻³): 6.1

Cell lengths 12.859, 3.770, 11.985 Å; angles 90.00, 109.51, 90.00 degrees
Space group C2/m (No. 12)
Symmetry-distinct sites (fractional):
Pm 0.025 0.000 0.326 (multiplicity 4)
Pm 0.186 0.500 0.876 (multiplicity 4)
Pm 0.189 0.500 0.590 (multiplicity 4)
Y 0.000 0.000 0.000 (multiplicity 2)
Al 0.148 0.500 0.198 (multiplicity 4)

Record 3
PmI2O6 after structural relaxation. Source: Alexandria, functional PBE-GGA.

Summary:
E above lowest polymorph (meV per atom): 0
DOS(E_F) (states/eV/atom): 0.420
ΔE_f (raw) (eV per atom): -1.0156
E (eV per cell): -186.96
ρ (g cm⁻³): 4.7

Cell lengths 9.654, 12.162, 6.175 Å; angles 90.00, 105.09, 90.00 degrees
Space group C2/c (No. 15)
Symmetry-distinct sites (fractional):
Pm 0.000 0.091 0.250 (multiplicity 4)
I 0.178 0.378 0.211 (multiplicity 8)
O 0.106 0.394 0.456 (multiplicity 8)
O 0.134 0.049 0.622 (multiplicity 8)
O 0.148 0.226 0.169 (multiplicity 8)

Record 4
MnHPd3 after structural relaxation. Source: Alexandria, functional PBE-GGA.

Summary:
E above lowest polymorph (meV per atom): 72
DOS(E_F) (states/eV/atom): 0.326
E (eV per cell): -231.03
ρ (g cm⁻³): 9.8

Cell lengths 5.835, 7.535, 11.565 Å; angles 90.00, 90.00, 90.00 degrees
Space group Fmmm (No. 69)
Symmetry-distinct sites (fractional):
Mn 0.245 0.000 0.000 (multiplicity 8)
H 0.000 0.000 0.352 (multiplicity 8)
Pd 0.000 0.248 0.120 (multiplicity 16)
Pd 0.250 0.000 0.250 (multiplicity 8)

Record 5
KMn after structural relaxation. Source: Alexandria, functional PBE-GGA.

Summary:
E above lowest polymorph (meV per atom): 59
DOS(E_F) (states/eV/atom): 0.966
DFT formation energy (meV per atom): 804
E (eV per cell): -34.63
ρ (g cm⁻³): 2.3

Cell lengths 3.280, 20.370, 4.096 Å; angles 90.00, 90.00, 90.00 degrees
Space group Cmcm (No. 63)
Symmetry-distinct sites (fractional):
K 0.000 0.101 0.250 (multiplicity 4)
Mn 0.000 0.264 0.250 (multiplicity 4)

Record 6
Rb2HF4 after structural relaxation. Source: Alexandria, functional PBE-GGA.

Summary:
E above lowest polymorph (meV per atom): 0
DOS(E_F) (states/eV/atom): 1.473
E (eV per cell): -53.77
ρ (g cm⁻³): 3.3

Cell lengths 5.207, 5.887, 8.322 Å; angles 90.00, 98.72, 90.00 degrees
Space group P2_1/m (No. 11)
Symmetry-distinct sites (fractional):
Rb 0.204 0.250 0.413 (multiplicity 2)
Rb 0.269 0.750 0.056 (multiplicity 2)
H 0.181 0.250 0.767 (multiplicity 2)
F 0.184 0.055 0.765 (multiplicity 4)
F 0.264 0.750 0.418 (multiplicity 2)
F 0.272 0.250 0.085 (multiplicity 2)